(1)
Material: Y2Mg2Br
Method: DFT, PBE
State: relaxed

a b c (Å): 7.5406 7.5406 5.2395
angles (deg): 90.00 90.00 90.00
Last column: nearest neighbours and their distance in Å.
Space group P4/mbm (No. 127)
Unique sites:
Y 0.1582 0.3418 0.0000  2 Br 2.84
Mg 0.1383 0.6383 0.5000  1 Mg 2.95
Br 0.0000 0.0000 0.0000  4 Y 2.84

Summary:
* formation energy from raw total energies: -351 meV/atom


(2)
Material: YMgBr2
Method: DFT, PBE
State: relaxed

a b c (Å): 5.2532 5.2532 3.6804
angles (deg): 90.00 90.00 90.00
Last column: nearest neighbours and their distance in Å.
Space group P4/mmm (No. 123)
Unique sites:
Y 0.0000 0.0000 0.0000  8 Br 3.21
Mg 0.5000 0.5000 0.0000  8 Br 3.21
Br 0.0000 0.5000 0.5000  4 Mg 3.21, 4 Y 3.21

Summary:
* energy relative to the lowest polymorph listed for this composition: 418 meV/atom
* formation energy from raw total energies: -583 meV/atom


(3)
Material: YMgBr2
Method: DFT, PBE
State: relaxed

a b c (Å): 4.1595 4.1595 12.1332
angles (deg): 90.00 90.00 90.00
Last column: nearest neighbours and their distance in Å.
Space group I-4m2 (No. 119)
Unique sites:
Y 0.0000 0.0000 0.0000  4 Br 2.94
Mg 0.0000 0.5000 0.2500  4 Br 2.94
Br 0.0000 0.0000 0.5000  4 Y 2.94
Br 0.0000 0.5000 0.7500  4 Mg 2.94

Summary:
* energy relative to the lowest polymorph listed for this composition: 341 meV/atom
* formation energy from raw total energies: -660 meV/atom